[1]
The following is a DFT calculation (PBEsol) of a relaxed structure of HfTc3S.

## Properties
**Fermi-level density of states**: 7.9 states/eV/cell
**Raw total energy**: -37.1 eV per cell
**Symmetry**: Pm-3m
**Formation energy from raw total energies**: 2.32 eV/atom
**Crystal system**: cubic

Cell lengths 4.7002, 4.7002, 4.7002 Å; angles 90.00, 90.00, 90.00 degrees
With the nearest neighbours (Å) after each atom.
Atoms (fractional coordinates):
S 0.5000 0.5000 0.5000  12 Tc 3.32
Tc 0.5000 0.0000 0.0000  2 Hf 2.35
Hf 0.0000 0.0000 0.0000  6 Tc 2.35
Tc 0.0000 0.5000 0.0000  2 Hf 2.35
Tc 0.0000 0.0000 0.5000  2 Hf 2.35

[2]
The following is a DFT calculation (PBEsol) of a relaxed structure of HfTeS3.

## Properties
**Fermi-level density of states**: 3.6 states/eV/cell
**Raw total energy**: -29.2 eV per cell
**Symmetry**: Pm-3m
**Formation energy from raw total energies**: -0.40 eV/atom
**Crystal system**: cubic

Cell lengths 4.8670, 4.8670, 4.8670 Å; angles 90.00, 90.00, 90.00 degrees
With the nearest neighbours (Å) after each atom.
Atoms (fractional coordinates):
S 0.0000 0.0000 0.5000  2 Hf 2.43
Hf 0.0000 0.0000 0.0000  6 S 2.43
Te 0.5000 0.5000 0.5000  12 S 3.44
S 0.0000 0.5000 0.0000  2 Hf 2.43
S 0.5000 0.0000 0.0000  2 Hf 2.43

[3]
The following is a DFT calculation (PBEsol) of a relaxed structure of HfTlTeS2.

## Properties
**Fermi-level density of states**: 2.8 states/eV/cell
**Raw total energy**: -21.7 eV per cell
**Symmetry**: P4/mmm
**Formation energy from raw total energies**: 0.75 eV/atom
**Crystal system**: tetragonal

Cell lengths 4.8851, 4.8851, 5.5527 Å; angles 90.00, 90.00, 90.00 degrees
With the nearest neighbours (Å) after each atom.
Atoms (fractional coordinates):
S 0.5000 0.0000 0.0000  2 Tl 2.44
S 0.0000 0.5000 0.0000  2 Tl 2.44
Tl 0.0000 0.0000 0.0000  4 S 2.44
Hf 0.5000 0.5000 0.5000  4 Te 3.45, 8 S 3.70
Te 0.0000 0.0000 0.5000  2 Tl 2.78

[4]
The following is a DFT calculation (PBEsol) of a relaxed structure of HfTlS3.

## Properties
**Fermi-level density of states**: 2.3 states/eV/cell
**Raw total energy**: -30.6 eV per cell
**Symmetry**: Pm-3m
**Formation energy from raw total energies**: -0.86 eV/atom
**Crystal system**: cubic

Cell lengths 4.9340, 4.9340, 4.9340 Å; angles 90.00, 90.00, 90.00 degrees
With the nearest neighbours (Å) after each atom.
Atoms (fractional coordinates):
S 0.5000 0.0000 0.0000  2 Hf 2.47
S 0.0000 0.5000 0.0000  2 Hf 2.47
Hf 0.0000 0.0000 0.0000  6 S 2.47
S 0.0000 0.0000 0.5000  2 Hf 2.47
Tl 0.5000 0.5000 0.5000  12 S 3.49

[5]
The following is a DFT calculation (PBEsol) of a relaxed structure of Hf2TlS.

## Properties
**Fermi-level density of states**: 3.8 states/eV/cell
**Raw total energy**: -28.9 eV per cell
**Symmetry**: Fm-3m
**Formation energy from raw total energies**: -0.23 eV/atom
**Crystal system**: cubic

Cell lengths 4.7575, 4.7575, 4.7575 Å; angles 60.00, 60.00, 60.00 degrees
With the nearest neighbours (Å) after each atom.
Atoms (fractional coordinates):
S 0.0000 0.0000 0.0000  8 Hf 2.91
Hf 0.2500 0.2500 0.2500  4 S 2.91, 4 Tl 2.91
Hf 0.7500 0.7500 0.7500  4 S 2.91, 4 Tl 2.91
Tl 0.5000 0.5000 0.5000  8 Hf 2.91

[6]
The following is a DFT calculation (PBEsol) of a relaxed structure of Hf9V4S.

## Properties
**Fermi-level density of states**: 31.5 states/eV/cell
**Raw total energy**: -281.3 eV per cell
**Symmetry**: P6_3/mmc
**Formation energy from raw total energies**: -0.23 eV/atom
**Crystal system**: hexagonal

Cell lengths 8.3040, 8.4499, 8.4499 Å; angles 120.00, 90.00, 90.00 degrees
With the nearest neighbours (Å) after each atom.
Atoms (fractional coordinates):
Hf 0.7500 0.5430 0.0860  2 V 2.88, 1 S 3.07, 10 Hf 3.14-3.17
V 0.5000 0.0000 0.0000  6 V 2.60, 6 Hf 2.90
V 0.7500 0.2136 0.1068  4 V 2.60-2.71, 4 Hf 2.82-2.88
Hf 0.2500 0.4570 0.9140  2 V 2.88, 1 S 3.07, 10 Hf 3.14-3.17
Hf 0.4491 0.8041 0.6083  1 S 2.60, 2 V 2.82-2.90
V 0.7500 0.8932 0.1068  4 V 2.60-2.71, 4 Hf 2.82-2.88
Hf 0.4491 0.3917 0.1959  1 S 2.60, 2 V 2.82-2.90
V 0.2500 0.1068 0.8932  4 V 2.60-2.71, 4 Hf 2.82-2.88
Hf 0.5509 0.1959 0.8041  1 S 2.60, 2 V 2.82-2.90
V 0.7500 0.8932 0.7864  4 V 2.60-2.71, 4 Hf 2.82-2.88
V 0.2500 0.1068 0.2136  4 V 2.60-2.71, 4 Hf 2.82-2.88
Hf 0.5509 0.1959 0.3917  1 S 2.60, 2 V 2.82-2.90
Hf 0.5509 0.6083 0.8041  1 S 2.60, 2 V 2.82-2.90
Hf 0.2500 0.4570 0.5430  2 V 2.88, 1 S 3.07, 10 Hf 3.14-3.17
Hf 0.0509 0.8041 0.6083  1 S 2.60, 2 V 2.82-2.90
Hf 0.2500 0.0860 0.5430  2 V 2.88, 1 S 3.07, 10 Hf 3.14-3.17
V 0.2500 0.7864 0.8932  4 V 2.60-2.71, 4 Hf 2.82-2.88
Hf 0.0509 0.8041 0.1959  1 S 2.60, 2 V 2.82-2.90
Hf 0.9491 0.1959 0.3917  1 S 2.60, 2 V 2.82-2.90
V 0.0000 0.0000 0.0000  6 V 2.60, 6 Hf 2.90
S 0.2500 0.6667 0.3333  6 Hf 2.60
Hf 0.4491 0.8041 0.1959  1 S 2.60, 2 V 2.82-2.90
Hf 0.9491 0.6083 0.8041  1 S 2.60, 2 V 2.82-2.90
Hf 0.7500 0.9140 0.4570  2 V 2.88, 1 S 3.07, 10 Hf 3.14-3.17
Hf 0.9491 0.1959 0.8041  1 S 2.60, 2 V 2.82-2.90
S 0.7500 0.3333 0.6667  6 Hf 2.60
Hf 0.7500 0.5430 0.4570  2 V 2.88, 1 S 3.07, 10 Hf 3.14-3.17
Hf 0.0509 0.3917 0.1959  1 S 2.60, 2 V 2.82-2.90

[7]
The following is a DFT calculation (PBEsol) of a relaxed structure of Y2HfS5.

## Properties
**Raw total energy**: -247.4 eV per cell
**Symmetry**: Pnma
**Formation energy from raw total energies**: -1.97 eV/atom
**Crystal system**: orthorhombic

Cell lengths 7.1484, 7.6525, 11.3477 Å; angles 90.00, 90.00, 90.00 degrees
With the nearest neighbours (Å) after each atom.
Atoms (fractional coordinates):
Y 0.4745 0.5026 0.6783  8 S 2.78-2.93
Y 0.4745 0.9974 0.6783  8 S 2.78-2.93
Y 0.5255 0.4974 0.3217  8 S 2.78-2.93
S 0.8369 0.9616 0.5922  2 Hf 2.49-2.61, 1 Y 2.78
Y 0.5255 0.0026 0.3217  8 S 2.78-2.93
S 0.6631 0.9616 0.0922  2 Hf 2.49-2.61, 1 Y 2.78
S 0.6668 0.7500 0.8184  1 Hf 2.64, 4 Y 2.83-2.93
S 0.0520 0.7500 0.9966  1 Hf 2.65, 4 Y 2.81-2.83
S 0.3369 0.4616 0.9078  2 Hf 2.49-2.61, 1 Y 2.78
S 0.8119 0.2500 0.2916  1 Hf 2.57, 4 Y 2.78-2.81
S 0.3369 0.0384 0.9078  2 Hf 2.49-2.61, 1 Y 2.78
Hf 0.9232 0.2500 0.5067  7 S 2.49-2.65
Y 0.0255 0.5026 0.1783  8 S 2.78-2.93
S 0.9480 0.2500 0.0034  1 Hf 2.65, 4 Y 2.81-2.83
S 0.1881 0.7500 0.7084  1 Hf 2.57, 4 Y 2.78-2.81
S 0.1668 0.2500 0.6816  1 Hf 2.64, 4 Y 2.83-2.93
Hf 0.5768 0.2500 0.0067  7 S 2.49-2.65
Y 0.0255 0.9974 0.1783  8 S 2.78-2.93
Hf 0.4232 0.7500 0.9933  7 S 2.49-2.65
S 0.3119 0.7500 0.2084  1 Hf 2.57, 4 Y 2.78-2.81
S 0.8332 0.7500 0.3184  1 Hf 2.64, 4 Y 2.83-2.93
Y 0.9745 0.0026 0.8217  8 S 2.78-2.93
S 0.6631 0.5384 0.0922  2 Hf 2.49-2.61, 1 Y 2.78
S 0.5520 0.2500 0.5034  1 Hf 2.65, 4 Y 2.81-2.83
S 0.1631 0.4616 0.4078  2 Hf 2.49-2.61, 1 Y 2.78
S 0.8369 0.5384 0.5922  2 Hf 2.49-2.61, 1 Y 2.78
S 0.6881 0.2500 0.7916  1 Hf 2.57, 4 Y 2.78-2.81
S 0.4480 0.7500 0.4966  1 Hf 2.65, 4 Y 2.81-2.83
S 0.3332 0.2500 0.1816  1 Hf 2.64, 4 Y 2.83-2.93
Y 0.9745 0.4974 0.8217  8 S 2.78-2.93
S 0.1631 0.0384 0.4078  2 Hf 2.49-2.61, 1 Y 2.78
Hf 0.0768 0.7500 0.4933  7 S 2.49-2.65

[8]
The following is a DFT calculation (PBEsol) of a relaxed structure of HfZr2S2.

## Properties
**Fermi-level density of states**: 4.5 states/eV/cell
**Raw total energy**: -40.4 eV per cell
**Symmetry**: I4/mmm
**Formation energy from raw total energies**: -0.59 eV/atom
**Crystal system**: tetragonal

Cell lengths 4.7312, 4.7312, 5.5298 Å; angles 115.33, 115.33, 90.00 degrees
With the nearest neighbours (Å) after each atom.
Atoms (fractional coordinates):
S 0.2500 0.7500 0.5000  4 Zr 2.51
S 0.7500 0.2500 0.5000  4 Zr 2.51
Hf 0.0000 0.0000 0.0000  2 Zr 3.05, 8 S 3.23
Zr 0.3468 0.3468 0.6935  4 S 2.51, 1 Zr 2.70
Zr 0.6532 0.6532 0.3065  4 S 2.51, 1 Zr 2.70

[9]
The following is a DFT calculation (PBEsol) of a relaxed structure of HfSb.

## Properties
**Fermi-level density of states**: 8.2 states/eV/cell
**Raw total energy**: -97.6 eV per cell
**Symmetry**: Cmcm
**Formation energy from raw total energies**: -0.61 eV/atom
**Crystal system**: orthorhombic

Cell lengths 3.7216, 5.4822, 13.8734 Å; angles 90.00, 90.00, 109.84 degrees
With the nearest neighbours (Å) after each atom.
Atoms (fractional coordinates):
Sb 0.6426 0.2853 0.0491  6 Hf 2.81-3.06
Sb 0.6760 0.3520 0.7500  7 Hf 2.87-2.97
Hf 0.3884 0.7768 0.7500  5 Sb 2.81-2.97
Sb 0.3574 0.7147 0.9509  6 Hf 2.81-3.06
Hf 0.0713 0.1427 0.8910  7 Sb 2.91-3.06
Sb 0.3240 0.6480 0.2500  7 Hf 2.87-2.97
Sb 0.6426 0.2853 0.4509  6 Hf 2.81-3.06
Hf 0.6116 0.2232 0.2500  5 Sb 2.81-2.97
Hf 0.9287 0.8573 0.3910  7 Sb 2.91-3.06
Hf 0.9287 0.8573 0.1090  7 Sb 2.91-3.06
Hf 0.0713 0.1427 0.6090  7 Sb 2.91-3.06
Sb 0.3574 0.7147 0.5491  6 Hf 2.81-3.06

[10]
The following is a DFT calculation (PBEsol) of a relaxed structure of Hf3Sb.

## Properties
**Fermi-level density of states**: 9.9 states/eV/cell
**Raw total energy**: -150.8 eV per cell
**Symmetry**: I-4
**Formation energy from raw total energies**: -0.41 eV/atom
**Crystal system**: tetragonal

Cell lengths 5.6142, 8.3281, 8.3281 Å; angles 83.48, 70.30, 70.30 degrees
With the nearest neighbours (Å) after each atom.
Atoms (fractional coordinates):
Hf 0.5765 0.4028 0.9722  3 Sb 2.84-3.05, 3 Hf 2.99-3.16
Hf 0.6902 0.0234 0.1877  2 Sb 2.87-3.01, 5 Hf 2.97-3.16
Hf 0.6204 0.3770 0.3319  4 Sb 2.88-2.91, 3 Hf 3.06-3.16
Hf 0.0207 0.0278 0.4028  3 Sb 2.84-3.05, 3 Hf 2.99-3.16
Hf 0.4513 0.9722 0.5972  3 Sb 2.84-3.05, 3 Hf 2.99-3.16
Sb 0.1834 0.3218 0.2579  9 Hf 2.84-3.05
Sb 0.7631 0.6782 0.7421  9 Hf 2.84-3.05
Hf 0.9515 0.5972 0.0278  3 Sb 2.84-3.05, 3 Hf 2.99-3.16
Sb 0.5587 0.2579 0.6782  9 Hf 2.84-3.05
Hf 0.0027 0.6681 0.3770  4 Sb 2.88-2.91, 3 Hf 3.06-3.16
Sb 0.4948 0.7421 0.3218  9 Hf 2.84-3.05
Hf 0.1221 0.1877 0.9766  2 Sb 2.87-3.01, 5 Hf 2.97-3.16
Hf 0.9013 0.9766 0.8123  2 Sb 2.87-3.01, 5 Hf 2.97-3.16
Hf 0.3292 0.6230 0.6681  4 Sb 2.88-2.91, 3 Hf 3.06-3.16
Hf 0.0478 0.3319 0.6230  4 Sb 2.88-2.91, 3 Hf 3.06-3.16
Hf 0.2864 0.8123 0.0234  2 Sb 2.87-3.01, 5 Hf 2.97-3.16

[11]
The following is a DFT calculation (PBEsol) of a relaxed structure of HfSb3.

## Properties
**Fermi-level density of states**: 5.3 states/eV/cell
**Raw total energy**: -48.2 eV per cell
**Symmetry**: P6_3/mmc
**Formation energy from raw total energies**: 0.02 eV/atom
**Crystal system**: hexagonal

Cell lengths 5.4777, 6.3750, 6.3750 Å; angles 120.00, 90.00, 90.00 degrees
With the nearest neighbours (Å) after each atom.
Atoms (fractional coordinates):
Hf 0.2500 0.6667 0.3333  12 Sb 3.19-3.24
Sb 0.7500 0.8241 0.6482  8 Sb 3.01-3.36, 4 Hf 3.19-3.24
Sb 0.2500 0.1759 0.3518  8 Sb 3.01-3.36, 4 Hf 3.19-3.24
Sb 0.2500 0.6482 0.8241  8 Sb 3.01-3.36, 4 Hf 3.19-3.24
Sb 0.2500 0.1759 0.8241  8 Sb 3.01-3.36, 4 Hf 3.19-3.24
Sb 0.7500 0.3518 0.1759  8 Sb 3.01-3.36, 4 Hf 3.19-3.24
Sb 0.7500 0.8241 0.1759  8 Sb 3.01-3.36, 4 Hf 3.19-3.24
Hf 0.7500 0.3333 0.6667  12 Sb 3.19-3.24

[12]
The following is a DFT calculation (PBEsol) of a relaxed structure of Hf5Sb3.

## Properties
**Fermi-level density of states**: 22.6 states/eV/cell
**Raw total energy**: -281.6 eV per cell
**Symmetry**: Pnma
**Formation energy from raw total energies**: -0.53 eV/atom
**Crystal system**: orthorhombic

Cell lengths 7.3550, 8.7167, 10.6264 Å; angles 90.00, 90.00, 90.00 degrees
With the nearest neighbours (Å) after each atom.
Atoms (fractional coordinates):
Hf 0.3544 0.7500 0.2159  5 Sb 2.81-2.99
Sb 0.4279 0.4920 0.6759  9 Hf 2.87-3.18
Hf 0.8043 0.2500 0.2776  4 Sb 2.79-2.97, 1 Hf 3.10
Sb 0.4279 0.0080 0.6759  9 Hf 2.87-3.18
Sb 0.9279 0.4920 0.8241  9 Hf 2.87-3.18
Sb 0.5826 0.2500 0.0445  8 Hf 2.79-2.97
Hf 0.0266 0.7500 0.9895  5 Sb 2.90-2.94, 3 Hf 3.03-3.10
Hf 0.3010 0.0570 0.9427  5 Sb 2.81-3.05, 1 Hf 3.03
Hf 0.4734 0.2500 0.4895  5 Sb 2.90-2.94, 3 Hf 3.03-3.10
Sb 0.0721 0.5080 0.1759  9 Hf 2.87-3.18
Sb 0.0721 0.9920 0.1759  9 Hf 2.87-3.18
Hf 0.8010 0.0570 0.5573  5 Sb 2.81-3.05, 1 Hf 3.03
Hf 0.6957 0.7500 0.7776  4 Sb 2.79-2.97, 1 Hf 3.10
Hf 0.8010 0.4430 0.5573  5 Sb 2.81-3.05, 1 Hf 3.03
Hf 0.3043 0.2500 0.2224  4 Sb 2.79-2.97, 1 Hf 3.10
Sb 0.5721 0.9920 0.3241  9 Hf 2.87-3.18
Hf 0.1990 0.5570 0.4427  5 Sb 2.81-3.05, 1 Hf 3.03
Hf 0.1957 0.7500 0.7224  4 Sb 2.79-2.97, 1 Hf 3.10
Sb 0.4174 0.7500 0.9555  8 Hf 2.79-2.97
Hf 0.3010 0.4430 0.9427  5 Sb 2.81-3.05, 1 Hf 3.03
Sb 0.9279 0.0080 0.8241  9 Hf 2.87-3.18
Hf 0.8544 0.7500 0.2841  5 Sb 2.81-2.99
Hf 0.6456 0.2500 0.7841  5 Sb 2.81-2.99
Hf 0.6990 0.9430 0.0573  5 Sb 2.81-3.05, 1 Hf 3.03
Hf 0.5266 0.7500 0.5105  5 Sb 2.90-2.94, 3 Hf 3.03-3.10
Hf 0.9734 0.2500 0.0105  5 Sb 2.90-2.94, 3 Hf 3.03-3.10
Hf 0.1456 0.2500 0.7159  5 Sb 2.81-2.99
Sb 0.9174 0.7500 0.5445  8 Hf 2.79-2.97
Hf 0.6990 0.5570 0.0573  5 Sb 2.81-3.05, 1 Hf 3.03
Sb 0.0826 0.2500 0.4555  8 Hf 2.79-2.97
Sb 0.5721 0.5080 0.3241  9 Hf 2.87-3.18
Hf 0.1990 0.9430 0.4427  5 Sb 2.81-3.05, 1 Hf 3.03

Among the records above, which one has the lowest formation energy from raw total energies? Y2HfS5

Among the records above, which one has the highest raw total energy? HfTlTeS2

Look up the formation energy from raw total energies of the first one. 2.32 eV/atom

What did the seventh record say?
The following is a DFT calculation (PBEsol) of a relaxed structure of Y2HfS5.

## Properties
**Raw total energy**: -247.4 eV per cell
**Symmetry**: Pnma
**Formation energy from raw total energies**: -1.97 eV/atom
**Crystal system**: orthorhombic

Cell lengths 7.1484, 7.6525, 11.3477 Å; angles 90.00, 90.00, 90.00 degrees
With the nearest neighbours (Å) after each atom.
Atoms (fractional coordinates):
Y 0.4745 0.5026 0.6783  8 S 2.78-2.93
Y 0.4745 0.9974 0.6783  8 S 2.78-2.93
Y 0.5255 0.4974 0.3217  8 S 2.78-2.93
S 0.8369 0.9616 0.5922  2 Hf 2.49-2.61, 1 Y 2.78
Y 0.5255 0.0026 0.3217  8 S 2.78-2.93
S 0.6631 0.9616 0.0922  2 Hf 2.49-2.61, 1 Y 2.78
S 0.6668 0.7500 0.8184  1 Hf 2.64, 4 Y 2.83-2.93
S 0.0520 0.7500 0.9966  1 Hf 2.65, 4 Y 2.81-2.83
S 0.3369 0.4616 0.9078  2 Hf 2.49-2.61, 1 Y 2.78
S 0.8119 0.2500 0.2916  1 Hf 2.57, 4 Y 2.78-2.81
S 0.3369 0.0384 0.9078  2 Hf 2.49-2.61, 1 Y 2.78
Hf 0.9232 0.2500 0.5067  7 S 2.49-2.65
Y 0.0255 0.5026 0.1783  8 S 2.78-2.93
S 0.9480 0.2500 0.0034  1 Hf 2.65, 4 Y 2.81-2.83
S 0.1881 0.7500 0.7084  1 Hf 2.57, 4 Y 2.78-2.81
S 0.1668 0.2500 0.6816  1 Hf 2.64, 4 Y 2.83-2.93
Hf 0.5768 0.2500 0.0067  7 S 2.49-2.65
Y 0.0255 0.9974 0.1783  8 S 2.78-2.93
Hf 0.4232 0.7500 0.9933  7 S 2.49-2.65
S 0.3119 0.7500 0.2084  1 Hf 2.57, 4 Y 2.78-2.81
S 0.8332 0.7500 0.3184  1 Hf 2.64, 4 Y 2.83-2.93
Y 0.9745 0.0026 0.8217  8 S 2.78-2.93
S 0.6631 0.5384 0.0922  2 Hf 2.49-2.61, 1 Y 2.78
S 0.5520 0.2500 0.5034  1 Hf 2.65, 4 Y 2.81-2.83
S 0.1631 0.4616 0.4078  2 Hf 2.49-2.61, 1 Y 2.78
S 0.8369 0.5384 0.5922  2 Hf 2.49-2.61, 1 Y 2.78
S 0.6881 0.2500 0.7916  1 Hf 2.57, 4 Y 2.78-2.81
S 0.4480 0.7500 0.4966  1 Hf 2.65, 4 Y 2.81-2.83
S 0.3332 0.2500 0.1816  1 Hf 2.64, 4 Y 2.83-2.93
Y 0.9745 0.4974 0.8217  8 S 2.78-2.93
S 0.1631 0.0384 0.4078  2 Hf 2.49-2.61, 1 Y 2.78
Hf 0.0768 0.7500 0.4933  7 S 2.49-2.65